## LaCoNO (GGA+U)

Data for a geometry-optimized LaCoNO structure.

Output
**Final energy**: -7.120 eV/atom
**Polymorph energy (0 for the lowest one)**: 0 meV per atom

CIF file:
```
data_LaCoNO
_chemical_formula_sum 'La2 Co2 N2 O2'
_space_group_name_H-M_alt 'P m c 21'
_space_group_IT_number 26
_cell_length_a 3.6655
_cell_length_b 5.4950
_cell_length_c 5.4245
_cell_angle_alpha 90.00
_cell_angle_beta 90.00
_cell_angle_gamma 90.00
loop_
_space_group_symop_operation_xyz
'x,y,z'
'-x,-y,z+1/2'
'-x,y,z'
'x,-y,z+1/2'
loop_
_atom_site_label
_atom_site_type_symbol
_atom_site_fract_x
_atom_site_fract_y
_atom_site_fract_z
La1 La 0.0000 0.2114 0.0000
Co1 Co 0.5000 0.2924 0.4956
N1 N 0.0000 0.3454 0.4900
O1 O 0.5000 0.0153 0.7605
```